No. 1
## Sr5Pd2Au2 (PBE)

Data for an optimized crystal structure of Sr5Pd2Au2.

Geometry as POSCAR:
```
Sr5Pd2Au2
1.0
7.7818 0.0000 2.8248
0.0000 8.2764 0.0000
1.1277 0.0000 9.0247
Pd Au Sr
4 4 10
Direct
0.6211 0.1212 0.0000 Pd
0.8789 0.6212 0.0000 Pd
0.3789 0.8788 0.0000 Pd
0.1211 0.3788 0.0000 Pd
0.7006 0.5000 0.5989 Au
0.2994 0.5000 0.4011 Au
0.7994 0.0000 0.4011 Au
0.2006 0.0000 0.5989 Au
0.0000 0.0000 0.0000 Sr
0.4651 0.1648 0.7307 Sr
0.1958 0.1648 0.2693 Sr
0.6958 0.3352 0.2693 Sr
0.8042 0.8352 0.7307 Sr
0.5349 0.8352 0.2693 Sr
0.5000 0.5000 0.0000 Sr
0.0349 0.6648 0.2693 Sr
0.9651 0.3352 0.7307 Sr
0.3042 0.6648 0.7307 Sr
```

Values from the calculation:
The calculation puts the total energy at -3.46 eV/atom. The value obtained for the total magnetization is 0.00 μB/f.u. The volume comes out at 555 Å³/cell. For the formation energy, the calculation gives -645 meV per atom.

---

No. 2
## SrPd2Au5 (PBE)

Data for an optimized crystal structure of SrPd2Au5.

Geometry as POSCAR:
```
SrPd2Au5
1.0
4.1805 0.0000 0.0000
2.0903 6.3565 0.0374
2.0903 1.2046 6.2415
Pd Au Sr
2 5 1
Direct
0.2752 0.2248 0.2248 Pd
0.7248 0.7752 0.7752 Pd
0.3493 0.4703 0.8310 Au
0.3493 0.8310 0.4703 Au
0.6507 0.1690 0.5297 Au
0.0000 0.5000 0.5000 Au
0.6507 0.5297 0.1690 Au
0.0000 0.0000 0.0000 Sr
```

Values from the calculation:
The calculation puts the total energy at -3.79 eV/atom. The value obtained for the total magnetization is 0.00 μB/f.u. The volume comes out at 166 Å³/cell. For the formation energy, the calculation gives -234 meV per atom.

---

No. 3
## SrPd3Au9 (PBE)

Data for an optimized crystal structure of SrPd3Au9.

Geometry as POSCAR:
```
SrPd3Au9
1.0
5.2331 0.0852 2.1242
2.6158 6.6717 1.0618
0.1092 0.0426 7.2392
Au Pd Sr
9 3 1
Direct
0.4976 0.7819 0.2211 Au
0.3585 0.6587 0.6524 Au
0.5024 0.2181 0.7789 Au
0.0000 0.5000 0.0000 Au
0.6415 0.3413 0.3476 Au
0.9892 0.3413 0.6524 Au
0.0108 0.6587 0.3476 Au
0.7187 0.7819 0.7789 Au
0.2813 0.2181 0.2211 Au
0.5000 0.0000 0.5000 Pd
0.0000 0.0000 0.5000 Pd
0.5000 0.5000 0.0000 Pd
0.0000 0.0000 0.0000 Sr
```

Values from the calculation:
The calculation puts the total energy at -3.84 eV/atom. The value obtained for the total magnetization is 0.00 μB/f.u. The volume comes out at 250 Å³/cell. For the formation energy, the calculation gives -247 meV per atom.

---

No. 4
## Sr5Pd2Au (PBE)

Data for an optimized crystal structure of Sr5Pd2Au.

Geometry as POSCAR:
```
Sr5Pd2Au
1.0
7.4332 0.0000 -3.5089
-1.6564 7.2463 -3.5089
0.0020 0.0025 9.6319
Sr Au Pd
10 2 4
Direct
0.0000 0.0000 0.0000 Sr
0.5312 0.6917 0.7228 Sr
0.5000 0.5000 0.0000 Sr
0.0312 0.5312 0.7228 Sr
0.8083 0.9688 0.2772 Sr
0.3083 0.8083 0.2772 Sr
0.9688 0.4688 0.2772 Sr
0.1917 0.0312 0.7228 Sr
0.6917 0.1917 0.7228 Sr
0.4688 0.3083 0.2772 Sr
0.7500 0.7500 0.5000 Au
0.2500 0.2500 0.5000 Au
0.8766 0.6234 0.0000 Pd
0.6234 0.1234 0.0000 Pd
0.3766 0.8766 0.0000 Pd
0.1234 0.3766 0.0000 Pd
```

Values from the calculation:
The calculation puts the total energy at -3.32 eV/atom. The value obtained for the total magnetization is 0.00 μB/f.u. The volume comes out at 519 Å³/cell. For the formation energy, the calculation gives -557 meV per atom.

---

No. 5
## SrPdAu (PBE)

Data for an optimized crystal structure of SrPdAu.

Geometry as POSCAR:
```
SrPdAu
1.0
4.8070 0.0000 0.0000
2.4035 4.1630 0.0000
2.4035 1.3877 3.9249
Au Sr Pd
1 1 1
Direct
0.0000 0.0000 0.0000 Au
0.5000 0.5000 0.5000 Sr
0.2500 0.2500 0.2500 Pd
```

Values from the calculation:
The calculation puts the total energy at -3.86 eV/atom. For the excess energy over the best structure of this formula in the dataset, the calculation gives 201 meV per atom. The value obtained for the total magnetization is 0.00 μB/f.u. The volume comes out at 79 Å³/cell. For the formation energy, the calculation gives -478 meV per atom.

---

No. 6
## Sr2PdAu (PBE)

Data for an optimized crystal structure of Sr2PdAu.

Geometry as POSCAR:
```
Sr2PdAu
1.0
-2.7553 1.9309 -1.7707
-1.2967 -3.2379 -1.5132
-4.5088 -0.9759 5.9516
Sr Pd Au
2 1 1
Direct
0.0000 0.0000 0.2417 Sr
0.0000 0.0000 0.7583 Sr
0.5000 0.5000 0.0000 Pd
0.5000 0.5000 0.5000 Au
```

Values from the calculation:
The calculation puts the total energy at -3.61 eV/atom. The value obtained for the total magnetization is 0.00 μB/f.u. The volume comes out at 109 Å³/cell. For the formation energy, the calculation gives -649 meV per atom.

---

No. 7
## Sr4PdAu (PBE)

Data for an optimized crystal structure of Sr4PdAu.

Geometry as POSCAR:
```
Sr4PdAu
1.0
-1.8817 7.3092 1.3764
-6.3108 -4.3056 0.9736
6.1048 -2.5573 7.1760
Sr Pd Au
8 2 2
Direct
0.3022 0.0475 0.6170 Sr
0.5549 0.2971 0.1072 Sr
0.6978 0.9525 0.3830 Sr
0.1852 0.4305 0.3830 Sr
0.0523 0.8102 0.1072 Sr
0.8148 0.5695 0.6170 Sr
0.4451 0.7029 0.8928 Sr
0.9477 0.1898 0.8928 Sr
0.1771 0.9271 0.8542 Pd
0.8229 0.0729 0.1458 Pd
0.3256 0.5756 0.1511 Au
0.6744 0.4244 0.8489 Au
```

Values from the calculation:
The calculation puts the total energy at -3.00 eV/atom. The value obtained for the total magnetization is 0.00 μB/f.u. The volume comes out at 486 Å³/cell. For the formation energy, the calculation gives -469 meV per atom.

---

No. 8
## Sr3Pd8Au (PBE)

Data for an optimized crystal structure of Sr3Pd8Au.

Geometry as POSCAR:
```
Sr3Pd8Au
1.0
-0.1722 1.2081 5.3996
0.0846 -4.0702 3.7510
8.9644 -0.5800 3.2533
Au Pd Sr
1 8 3
Direct
0.8679 0.8679 0.3964 Au
0.4403 0.9392 0.6814 Pd
0.4376 0.4376 0.1875 Pd
0.9392 0.9392 0.6814 Pd
0.6883 0.6883 0.9350 Pd
0.4376 0.9374 0.1875 Pd
0.1890 0.1890 0.4331 Pd
0.9392 0.4403 0.6814 Pd
0.9374 0.4376 0.1875 Pd
0.5063 0.5063 0.4810 Sr
0.9907 0.9907 0.0280 Sr
0.3766 0.3766 0.8701 Sr
```

Values from the calculation:
The calculation puts the total energy at -4.66 eV/atom. The value obtained for the total magnetization is 0.00 μB/f.u. The volume comes out at 239 Å³/cell. For the formation energy, the calculation gives -500 meV per atom.